DFT (PBE+U) results for an optimized crystal structure of Rb2Ta3MoO12.

The volume is 878.21 Å³/cell. The calculation puts the electronic total energy at -8.145 eV per atom. Its density of states at the Fermi level is 11.888 states/eV/f.u. The value obtained for the spin magnetization is 3.32 μB/cell.

The structure belongs to space group R-3m (No. 166, hexagonal axes); the cell edges are 7.4652, 7.4652 and 18.1964 Å and the angles 90.00°, 90.00° and 120.00°. The asymmetric unit holds Rb at (0.0000, 0.0000, 0.1238), Ta at (0.0000, 0.5000, 0.0000), Mo at (0.0000, 0.0000, 0.5000), O at (0.0827, 0.5414, 0.3555) and O at (0.0897, 0.5449, 0.1051).